# 1
{"formula": "Pr3Mg4Tl4", "functional": "PBE", "state": "optimized geometry", "volume_a3_per_atom": 26.73, "e_tot_ev_per_atom": -3.04, "lattice": [[-2.4002, 3.8487, 7.9581], [2.4002, -3.8487, 7.9581], [2.4002, 3.8487, -7.9581]], "species": ["Mg", "Mg", "Mg", "Pr", "Mg", "Pr", "Tl", "Tl", "Pr", "Tl", "Tl"], "fractional_positions": [[0.6332, 0.8278, 0.8054], [0.3668, 0.1722, 0.1946], [0.0224, 0.8278, 0.1946], [0.0000, 0.5000, 0.5000], [0.9776, 0.1722, 0.8054], [0.3791, 0.3791, 0.0000], [0.2172, 0.7172, 0.5000], [0.2999, 0.0000, 0.2999], [0.6209, 0.6209, 0.0000], [0.7828, 0.2828, 0.5000], [0.7001, 0.0000, 0.7001]]}

---

# 2
{"formula": "Pr2TmMg4Tl2", "functional": "PBE", "state": "optimized geometry", "volume_a3_per_atom": 26.97, "e_tot_ev_per_atom": -3.02, "lattice": [[4.7501, 0.0000, 0.0000], [0.0000, 6.5726, 3.8877], [0.0000, -6.5726, 3.8877]], "species": ["Tl", "Pr", "Tm", "Mg", "Mg", "Mg", "Tl", "Mg", "Pr"], "fractional_positions": [[0.5000, 0.3337, 0.6570], [0.0000, 0.5676, 0.9959], [0.0000, 0.4320, 0.4320], [0.5000, 0.9995, 0.2428], [0.5000, 0.7606, 0.7606], [0.5000, 0.2428, 0.9995], [0.5000, 0.6570, 0.3337], [0.0000, 0.0110, 0.0110], [0.0000, 0.9959, 0.5676]]}

---

# 3
{"formula": "Pr2YMg4Tl2", "functional": "PBE", "state": "optimized geometry", "volume_a3_per_atom": 27.19, "e_tot_ev_per_atom": -3.26, "lattice": [[4.7533, 0.0000, 0.0000], [0.0000, 6.6237, 3.8860], [0.0000, -6.6237, 3.8860]], "species": ["Tl", "Mg", "Y", "Pr", "Mg", "Pr", "Tl", "Mg", "Mg"], "fractional_positions": [[0.5000, 0.3338, 0.6601], [0.5000, 0.2429, 0.0002], [0.0000, 0.4298, 0.4298], [0.0000, 0.9974, 0.5691], [0.5000, 0.0002, 0.2429], [0.0000, 0.5691, 0.9974], [0.5000, 0.6601, 0.3338], [0.5000, 0.7594, 0.7594], [0.0000, 0.0073, 0.0073]]}

---

# 4
{"formula": "Pr3Mg3TlZn2", "functional": "PBE", "state": "optimized geometry", "volume_a3_per_atom": 25.69, "e_tot_ev_per_atom": -2.92, "lattice": [[7.5246, 0.0000, 0.0000], [-3.7623, 6.5165, 0.0000], [0.0000, 0.0000, 4.7160]], "species": ["Pr", "Mg", "Pr", "Tl", "Zn", "Mg", "Zn", "Mg", "Pr"], "fractional_positions": [[0.0000, 0.5689, 0.0000], [0.2484, 0.0000, 0.5000], [0.4311, 0.4311, 0.0000], [0.0000, 0.0000, 0.0000], [0.3333, 0.6667, 0.5000], [0.0000, 0.2484, 0.5000], [0.6667, 0.3333, 0.5000], [0.7516, 0.7516, 0.5000], [0.5689, 0.0000, 0.0000]]}

---

# 5
{"formula": "PrTmMg6", "functional": "PBE", "state": "optimized geometry", "volume_a3_per_atom": 25.01, "e_tot_ev_per_atom": -2.40, "lattice": [[-0.6171, 3.9236, 3.3327], [-4.2005, -2.3243, 1.9586], [4.2717, -3.5406, 4.9594]], "species": ["Mg", "Tm", "Mg", "Mg", "Mg", "Pr", "Mg", "Mg"], "fractional_positions": [[0.0000, 0.5000, 0.2587], [0.5000, 0.5000, 0.5000], [0.5000, 0.0000, 0.7413], [0.5000, 0.0000, 0.2587], [0.5000, 0.5000, 0.0000], [0.0000, 0.0000, 0.0000], [0.0000, 0.5000, 0.7413], [0.0000, 0.0000, 0.5000]]}

---

# 6
{"formula": "PrTmMg6", "functional": "PBE", "state": "optimized geometry", "volume_a3_per_atom": 25.03, "e_tot_ev_per_atom": -2.40, "lattice": [[5.1892, 0.0000, 0.0000], [0.0000, 7.4341, 0.0000], [0.0000, 0.0000, 5.1898]], "species": ["Mg", "Pr", "Mg", "Tm", "Mg", "Mg", "Mg", "Mg"], "fractional_positions": [[0.5000, 0.5000, 0.7475], [0.0000, 0.5000, 0.2535], [0.0000, 0.0000, 0.2537], [0.5000, 0.0000, 0.7457], [0.0000, 0.7580, 0.7543], [0.5000, 0.7580, 0.2455], [0.0000, 0.2420, 0.7543], [0.5000, 0.2420, 0.2455]]}

---

# 7
{"formula": "PrMgW", "functional": "PBE", "state": "optimized geometry", "volume_a3_per_atom": 28.95, "e_tot_ev_per_atom": -4.82, "lattice": [[0.0000, 3.5149, 3.5149], [3.5149, 0.0000, 3.5149], [3.5149, 3.5149, 0.0000]], "species": ["Mg", "Pr", "W"], "fractional_positions": [[0.2500, 0.2500, 0.2500], [0.0000, 0.0000, 0.0000], [0.7500, 0.7500, 0.7500]]}

---

# 8
{"formula": "PrYMg", "functional": "PBE", "state": "optimized geometry", "volume_a3_per_atom": 35.50, "e_tot_ev_per_atom": -3.89, "lattice": [[0.0000, 3.7621, 3.7621], [3.7621, 0.0000, 3.7621], [3.7621, 3.7621, 0.0000]], "species": ["Pr", "Mg", "Y"], "fractional_positions": [[0.2500, 0.2500, 0.2500], [0.0000, 0.0000, 0.0000], [0.7500, 0.7500, 0.7500]]}

---

# 9
{"formula": "PrMgZn", "functional": "PBE", "state": "optimized geometry", "volume_a3_per_atom": 27.09, "e_tot_ev_per_atom": -2.64, "lattice": [[4.7586, -0.8524, -0.5176], [2.0983, -3.6388, 2.4485], [1.5157, -3.9671, -2.3673]], "species": ["Mg", "Zn", "Pr"], "fractional_positions": [[0.2500, 0.2500, 0.2500], [0.0000, 0.0000, 0.0000], [0.7500, 0.7500, 0.7500]]}

---

# 10
{"formula": "PrMgZn", "functional": "PBE", "state": "optimized geometry", "volume_a3_per_atom": 29.66, "e_tot_ev_per_atom": -2.19, "lattice": [[2.5057, 1.4467, 4.0918], [-2.5057, 1.4467, 4.0918], [0.0000, -2.8933, 4.0918]], "species": ["Zn", "Mg", "Pr"], "fractional_positions": [[0.7500, 0.7500, 0.7500], [0.2500, 0.2500, 0.2500], [0.0000, 0.0000, 0.0000]]}

---

# 11
{"formula": "Pr2Mg2Zn15", "functional": "PBE", "state": "optimized geometry", "volume_a3_per_atom": 16.99, "e_tot_ev_per_atom": -1.92, "lattice": [[4.5627, 2.6343, 4.4753], [-4.5627, 2.6343, 4.4753], [0.0000, -5.2685, 4.4753]], "species": ["Zn", "Zn", "Zn", "Zn", "Zn", "Mg", "Pr", "Zn", "Mg", "Zn", "Zn", "Zn", "Zn", "Zn", "Pr", "Zn", "Zn", "Zn", "Zn"], "fractional_positions": [[0.2925, 0.7075, 0.0000], [0.0000, 0.0000, 0.5000], [0.7075, 0.2925, 0.0000], [0.1610, 0.6471, 0.6471], [0.6471, 0.1610, 0.6471], [0.1031, 0.1031, 0.1031], [0.6590, 0.6590, 0.6590], [0.8390, 0.3529, 0.3529], [0.8969, 0.8969, 0.8969], [0.7075, 0.0000, 0.2925], [0.0000, 0.5000, 0.0000], [0.3529, 0.8390, 0.3529], [0.6471, 0.6471, 0.1610], [0.0000, 0.2925, 0.7075], [0.3410, 0.3410, 0.3410], [0.3529, 0.3529, 0.8390], [0.0000, 0.7075, 0.2925], [0.5000, 0.0000, 0.0000], [0.2925, 0.0000, 0.7075]]}

---

# 12
{"formula": "PrMgZr", "functional": "PBE", "state": "optimized geometry", "volume_a3_per_atom": 31.97, "e_tot_ev_per_atom": -3.95, "lattice": [[0.0000, 3.6331, 3.6331], [3.6331, 0.0000, 3.6331], [3.6331, 3.6331, 0.0000]], "species": ["Pr", "Mg", "Zr"], "fractional_positions": [[0.0000, 0.0000, 0.0000], [0.2500, 0.2500, 0.2500], [0.7500, 0.7500, 0.7500]]}